No. 1
Material: Na3HoTm2Se6
Method: DFT, PBE-GGA
State: relaxed

Values from the calculation:
Total DFT energy (no corrections): -4.90 eV/atom
Density of states at the Fermi level: 0.000 states/eV/cell
Space group: C2/m (12)

Cell: 7.1136 7.1136 7.3919 Å, 99.23 99.23 120.00°
Element x y z (fractional)
Na: 0.0000 0.0000 0.0000
Na: 0.3336 0.6664 0.0000
Na: 0.6664 0.3336 0.0000
Ho: 0.5000 0.5000 0.5000
Tm: 0.1667 0.8333 0.5000
Tm: 0.8333 0.1667 0.5000
Se: 0.0889 0.4242 0.2728
Se: 0.2404 0.2404 0.7274
Se: 0.4242 0.0889 0.2728
Se: 0.5758 0.9111 0.7272
Se: 0.7596 0.7596 0.2726
Se: 0.9111 0.5758 0.7272

=====

No. 2
Material: La2PmTh2
Method: DFT, PBE-GGA
State: relaxed

Values from the calculation:
Total DFT energy (no corrections): -5.86 eV/atom
Density of states at the Fermi level: 9.023 states/eV/cell
ΔE_f: 0.1 eV/f.u.
Space group: R-3m (166)

Cell: 15.1034 15.1034 15.1034 Å, 13.80 13.80 13.80°
Element x y z (fractional)
La: 0.0973 0.0973 0.0973
La: 0.9027 0.9027 0.9027
Pm: 0.5000 0.5000 0.5000
Th: 0.3016 0.3016 0.3016
Th: 0.6984 0.6984 0.6984

=====

No. 3
Material: ZnBiTe2
Method: DFT, PBE-GGA
State: relaxed

Values from the calculation:
Total DFT energy (no corrections): -2.86 eV/atom
Density of states at the Fermi level: 2.419 states/eV/cell
Space group: R-3m (166)

Cell: 9.8468 9.8468 9.8468 Å, 22.38 22.38 22.38°
Element x y z (fractional)
Zn: 0.0000 0.0000 0.0000
Bi: 0.5000 0.5000 0.5000
Te: 0.3921 0.3921 0.3921
Te: 0.6079 0.6079 0.6079

=====

No. 4
Material: TaCoW2
Method: DFT, PBE-GGA
State: relaxed

Values from the calculation:
Total DFT energy (no corrections): -11.19 eV/atom
Density of states at the Fermi level: 3.916 states/eV/cell
ΔE_f: 0.1 eV/f.u.
Space group: Cmm2 (35)

Cell: 2.7368 2.7368 8.4180 Å, 90.00 90.00 105.17°
Element x y z (fractional)
Ta: 0.0000 0.0000 0.0000
Co: 0.5000 0.5000 0.7650
W: 0.0000 0.0000 0.5443
W: 0.5000 0.5000 0.2767

=====

No. 5
Material: PmHfSn
Method: DFT, PBE-GGA
State: relaxed

Values from the calculation:
Total DFT energy (no corrections): -6.43 eV/atom
Density of states at the Fermi level: 5.461 states/eV/cell
ΔE_f: -0.6 eV/f.u.
Space group: I4mm (107)

Cell: 6.3045 6.3045 6.3045 Å, 145.76 145.76 49.20°
Element x y z (fractional)
Pm: 0.0000 0.0000 0.0000
Hf: 0.6820 0.6820 0.0000
Sn: 0.3190 0.3190 0.0000

=====

No. 6
Material: PrErCoRh
Method: DFT, PBE-GGA
State: relaxed

Values from the calculation:
Total DFT energy (no corrections): -6.32 eV/atom
Density of states at the Fermi level: 1.499 states/eV/cell
ΔE_f: -1.5 eV/f.u.
Space group: F-43m (216)

Cell: 4.8816 4.8816 4.8816 Å, 60.00 60.00 60.00°
Element x y z (fractional)
Pr: 0.0000 0.0000 0.0000
Er: 0.5000 0.5000 0.5000
Co: 0.7500 0.7500 0.7500
Rh: 0.2500 0.2500 0.2500

=====

No. 7
Material: LuGaAgRh
Method: DFT, PBE-GGA
State: relaxed

Values from the calculation:
Total DFT energy (no corrections): -4.95 eV/atom
Density of states at the Fermi level: 2.682 states/eV/cell
ΔE_f: -2.0 eV/f.u.
Space group: F-43m (216)

Cell: 4.6438 4.6438 4.6438 Å, 60.00 60.00 60.00°
Element x y z (fractional)
Lu: 0.0000 0.0000 0.0000
Ga: 0.5000 0.5000 0.5000
Ag: 0.2500 0.2500 0.2500
Rh: 0.7500 0.7500 0.7500

=====

No. 8
Material: In2SiNi
Method: DFT, PBE-GGA
State: relaxed

Values from the calculation:
Total DFT energy (no corrections): -4.10 eV/atom
Density of states at the Fermi level: 1.755 states/eV/cell
Space group: Cm (8)

Cell: 4.9975 4.9975 6.0203 Å, 115.82 115.82 36.48°
Element x y z (fractional)
In: 0.0000 0.0000 0.0000
In: 0.1622 0.1622 0.6261
Si: 0.8233 0.8233 0.2634
Ni: 0.4196 0.4196 0.5779

=====

No. 9
Material: Tm2Cd13
Method: DFT, PBE-GGA
State: relaxed

Values from the calculation:
Total DFT energy (no corrections): -1.39 eV/atom
Density of states at the Fermi level: 5.107 states/eV/cell
ΔE_f: 0.0 eV/f.u.
Space group: R-3m (166)

Cell: 8.2770 8.2770 8.2770 Å, 56.90 56.90 56.90°
Element x y z (fractional)
Tm: 0.1541 0.1541 0.1541
Tm: 0.8459 0.8459 0.8459
Cd: 0.0000 0.0000 0.0000
Cd: 0.1504 0.1504 0.5383
Cd: 0.1504 0.5383 0.1504
Cd: 0.3114 0.3114 0.6793
Cd: 0.3114 0.6793 0.3114
Cd: 0.3207 0.6886 0.6886
Cd: 0.4617 0.8496 0.8496
Cd: 0.5383 0.1504 0.1504
Cd: 0.6793 0.3114 0.3114
Cd: 0.6886 0.3207 0.6886
Cd: 0.6886 0.6886 0.3207
Cd: 0.8496 0.4617 0.8496
Cd: 0.8496 0.8496 0.4617

=====

No. 10
Material: TmNpSc2Sb4
Method: DFT, PBE-GGA
State: relaxed

Values from the calculation:
Total DFT energy (no corrections): -6.59 eV/atom
Density of states at the Fermi level: 11.812 states/eV/cell
Space group: P2/m (10)

Cell: 7.3810 4.2636 7.3935 Å, 90.00 109.33 90.00°
Element x y z (fractional)
Tm: 0.0000 0.0000 0.0000
Np: 0.0000 0.5000 0.5000
Sc: 0.5000 0.0000 0.5000
Sc: 0.5000 0.5000 0.0000
Sb: 0.2625 0.5000 0.2528
Sb: 0.2651 0.0000 0.7572
Sb: 0.7349 0.0000 0.2428
Sb: 0.7375 0.5000 0.7472

=====

No. 11
Material: P6N7Cl9
Method: DFT, PBE-GGA
State: relaxed

Values from the calculation:
Total DFT energy (no corrections): -5.41 eV/atom
Density of states at the Fermi level: 0.000 states/eV/cell
Space group: C2/c (15)

Cell: 10.9678 10.9678 32.0134 Å, 98.39 98.39 36.15°
Element x y z (fractional)
P: 0.0117 0.9394 0.9209
P: 0.0129 0.1628 0.8872
P: 0.0146 0.9483 0.8277
P: 0.0327 0.2329 0.7239
P: 0.0465 0.2360 0.5559
P: 0.0517 0.9854 0.6723
P: 0.0606 0.9883 0.5791
P: 0.1423 0.1535 0.1417
P: 0.1535 0.1423 0.6417
P: 0.1628 0.0129 0.3872
P: 0.2329 0.0327 0.2239
P: 0.2360 0.0465 0.0559
P: 0.7640 0.9535 0.9441
P: 0.7671 0.9673 0.7761
P: 0.8372 0.9871 0.6128
P: 0.8465 0.8577 0.3583
P: 0.8577 0.8465 0.8583
P: 0.9394 0.0117 0.4209
P: 0.9483 0.0146 0.3277
P: 0.9535 0.7640 0.4441
P: 0.9673 0.7671 0.2761
P: 0.9854 0.0517 0.1723
P: 0.9871 0.8372 0.1128
P: 0.9883 0.0606 0.0791
N: 0.0084 0.8621 0.4520
N: 0.0096 0.0860 0.9247
N: 0.0116 0.1049 0.7146
N: 0.0229 0.8785 0.1595
N: 0.0453 0.0822 0.1309
N: 0.0626 0.2790 0.6845
N: 0.0822 0.0453 0.6309
N: 0.0860 0.0096 0.4247
N: 0.0909 0.2629 0.6033
N: 0.1049 0.0116 0.2146
N: 0.1215 0.9771 0.3405
N: 0.1379 0.9916 0.0480
N: 0.2629 0.0909 0.1033
N: 0.2790 0.0626 0.1845
N: 0.7210 0.9374 0.8155
N: 0.7371 0.9091 0.8967
N: 0.8621 0.0084 0.9520
N: 0.8785 0.0229 0.6595
N: 0.8951 0.9884 0.7854
N: 0.9091 0.7371 0.3967
N: 0.9140 0.9904 0.5753
N: 0.9178 0.9547 0.3691
N: 0.9374 0.7210 0.3155
N: 0.9547 0.9178 0.8691
N: 0.9771 0.1215 0.8405
N: 0.9884 0.8951 0.2854
N: 0.9904 0.9140 0.0753
N: 0.9916 0.1379 0.5480
Cl: 0.0503 0.2772 0.3927
Cl: 0.0801 0.2849 0.0206
Cl: 0.0961 0.2604 0.2687
Cl: 0.1150 0.5322 0.8514
Cl: 0.1865 0.4865 0.4694
Cl: 0.2022 0.5318 0.1038
Cl: 0.2182 0.4958 0.2471
Cl: 0.2604 0.0961 0.7687
Cl: 0.2772 0.0503 0.8927
Cl: 0.2849 0.0801 0.5206
Cl: 0.3049 0.6489 0.9343
Cl: 0.3221 0.6711 0.8206
Cl: 0.3289 0.6779 0.6794
Cl: 0.3511 0.6951 0.5657
Cl: 0.4682 0.7978 0.3962
Cl: 0.4678 0.8850 0.6486
Cl: 0.4865 0.1865 0.9694
Cl: 0.4958 0.2182 0.7471
Cl: 0.5042 0.7818 0.2529
Cl: 0.5135 0.8135 0.0306
Cl: 0.5322 0.1150 0.3514
Cl: 0.5318 0.2022 0.6038
Cl: 0.6489 0.3049 0.4343
Cl: 0.6711 0.3221 0.3206
Cl: 0.6779 0.3289 0.1794
Cl: 0.6951 0.3511 0.0657
Cl: 0.7151 0.9199 0.4794
Cl: 0.7228 0.9497 0.1073
Cl: 0.7396 0.9039 0.2313
Cl: 0.7818 0.5042 0.7529
Cl: 0.7978 0.4682 0.8962
Cl: 0.8135 0.5135 0.5306
Cl: 0.8850 0.4678 0.1486
Cl: 0.9039 0.7396 0.7313
Cl: 0.9199 0.7151 0.9794
Cl: 0.9497 0.7228 0.6073

=====

No. 12
Material: Pm12YSc6
Method: DFT, PBE-GGA
State: relaxed

Values from the calculation:
Total DFT energy (no corrections): -5.07 eV/atom
Density of states at the Fermi level: 29.576 states/eV/cell
ΔE_f: 5.1 eV/f.u.
Space group: R-3 (148)

Cell: 9.0178 9.0178 9.0178 Å, 106.78 106.78 106.78°
Element x y z (fractional)
Pm: 0.1333 0.2801 0.8265
Pm: 0.1735 0.8667 0.7199
Pm: 0.1962 0.4787 0.5706
Pm: 0.2801 0.8265 0.1333
Pm: 0.4294 0.8038 0.5213
Pm: 0.4787 0.5706 0.1962
Pm: 0.5213 0.4294 0.8038
Pm: 0.5706 0.1962 0.4787
Pm: 0.7199 0.1735 0.8667
Pm: 0.8038 0.5213 0.4294
Pm: 0.8265 0.1333 0.2801
Pm: 0.8667 0.7199 0.1735
Y: 0.0000 0.0000 0.0000
Sc: 0.0726 0.4620 0.1866
Sc: 0.1866 0.0726 0.4620
Sc: 0.4620 0.1866 0.0726
Sc: 0.5380 0.8134 0.9274
Sc: 0.8134 0.9274 0.5380
Sc: 0.9274 0.5380 0.8134

=====

No. 13
Material: Ho8RuRh2
Method: DFT, PBE-GGA
State: relaxed

Values from the calculation:
Total DFT energy (no corrections): -5.89 eV/atom
Density of states at the Fermi level: 9.504 states/eV/cell
ΔE_f: -4.2 eV/f.u.
Space group: Cm (8)

Cell: 7.5331 7.5331 5.8784 Å, 100.67 100.67 114.30°
Element x y z (fractional)
Ho: 0.0000 0.0000 0.0000
Ho: 0.0216 0.2753 0.5906
Ho: 0.1503 0.5721 0.1816
Ho: 0.2753 0.0216 0.5906
Ho: 0.4382 0.6920 0.7850
Ho: 0.5721 0.1503 0.1816
Ho: 0.6920 0.4382 0.7850
Ho: 0.7143 0.7143 0.3585
Ru: 0.3581 0.3581 0.0548
Rh: 0.0447 0.6617 0.6783
Rh: 0.6617 0.0447 0.6783